(1)
VASP calculation (PBE-GGA) on a relaxed TbTm2Rh4 crystal.

It has space group R-3m (No. 166, hexagonal axes), with a = 4.6190 Å, b = 4.6190 Å, c = 23.0498 Å, α = 90.00°, β = 90.00° and γ = 120.00°. The inequivalent atoms are Tb at (0.0000, 0.0000, 0.0000), Tm at (0.0000, 0.0000, 0.2390), Rh at (0.0000, 0.0000, 0.1219) and Rh at (0.0000, 0.0000, 0.3767).

The formation energy is -4.041 eV/f.u. The density of states at the Fermi level comes out at 10.405 states/eV/cell.

***

(2)
VASP calculation (PBE-GGA) on a relaxed Er12MgNi6 crystal.

It has space group Im-3 (No. 204), with a = 9.647 Å, b = 9.647 Å, c = 9.647 Å, α = 90.00°, β = 90.00° and γ = 90.00°. The inequivalent atoms are Er at (0.000, 0.187, 0.304), Mg at (0.000, 0.000, 0.000) and Ni at (0.000, 0.377, 0.500).

The formation energy is -5.955 eV/f.u. The density of states at the Fermi level comes out at 51.729 states/eV/cell.

***

(3)
VASP calculation (PBE-GGA) on a relaxed Y4AgO crystal.

It has space group C2/c (No. 15), with a = 7.591 Å, b = 16.435 Å, c = 6.015 Å, α = 90.00°, β = 124.20° and γ = 90.00°. The inequivalent atoms are Y at (0.190, 0.221, 0.197), Y at (0.213, 0.064, 0.647), Ag at (0.000, 0.402, 0.750) and O at (0.000, 0.000, 0.250).

The uncorrected formation energy is -0.940 eV per atom. The density of states at the Fermi level comes out at 25.539 states/eV/cell.

***

(4)
VASP calculation (PBE-GGA) on a relaxed ZnPd3Ru crystal.

It has space group Pm-3m (No. 221), with a = 4.793 Å, b = 4.793 Å, c = 4.793 Å, α = 90.00°, β = 90.00° and γ = 90.00°. The inequivalent atoms are Zn at (0.000, 0.000, 0.000), Pd at (0.000, 0.500, 0.500) and Ru at (0.500, 0.500, 0.500).

The formation energy is 5.769 eV/f.u. The density of states at the Fermi level comes out at 6.732 states/eV/cell.

***

(5)
VASP calculation (PBE-GGA) on a relaxed Tm5BS4 crystal.

It has space group I4/m (No. 87), with a = 8.593 Å, b = 8.593 Å, c = 5.404 Å, α = 90.00°, β = 90.00° and γ = 90.00°. The inequivalent atoms are Tm at (0.000, 0.000, 0.000), Tm at (0.093, 0.722, 0.500), B at (0.000, 0.000, 0.500) and S at (0.095, 0.697, 0.000).

The uncorrected formation energy is -1.703 eV per atom. The density of states at the Fermi level comes out at 6.017 states/eV/cell.

***

(6)
VASP calculation (PBE-GGA) on a relaxed Tm5Mg2Tl crystal.

It has space group I4/mcm (No. 140), with a = 8.291 Å, b = 8.291 Å, c = 12.967 Å, α = 90.00°, β = 90.00° and γ = 90.00°. The inequivalent atoms are Tm at (0.000, 0.000, 0.000), Tm at (0.153, 0.347, 0.159), Mg at (0.139, 0.361, 0.500) and Tl at (0.000, 0.000, 0.250).

The formation energy is -0.160 eV/f.u. The density of states at the Fermi level comes out at 44.463 states/eV/cell.

***

(7)
VASP calculation (PBE-GGA) on a relaxed SmHfRu4 crystal.

It has space group F-43m (No. 216), with a = 7.480 Å, b = 7.480 Å, c = 7.480 Å, α = 90.00°, β = 90.00° and γ = 90.00°. The inequivalent atoms are Sm at (0.000, 0.000, 0.000), Hf at (0.250, 0.250, 0.750) and Ru at (0.125, 0.125, 0.375).

The formation energy is -1.399 eV/f.u. The density of states at the Fermi level comes out at 21.434 states/eV/cell.

***

(8)
VASP calculation (PBE-GGA) on a relaxed NaGaCo3 crystal.

It has space group Pm-3m (No. 221), with a = 4.339 Å, b = 4.339 Å, c = 4.339 Å, α = 90.00°, β = 90.00° and γ = 90.00°. The inequivalent atoms are Na at (0.000, 0.000, 0.000), Ga at (0.500, 0.500, 0.500) and Co at (0.000, 0.000, 0.500).

The formation energy is 8.871 eV/f.u. The density of states at the Fermi level comes out at 7.366 states/eV/cell.

***

(9)
VASP calculation (PBE-GGA) on a relaxed NdErHg2 crystal.

It has space group Fm-3m (No. 225), with a = 7.540 Å, b = 7.540 Å, c = 7.540 Å, α = 90.00°, β = 90.00° and γ = 90.00°. The inequivalent atoms are Nd at (0.000, 0.000, 0.000), Er at (0.000, 0.000, 0.500) and Hg at (0.250, 0.250, 0.250).

The formation energy is -1.850 eV/f.u. The density of states at the Fermi level comes out at 17.053 states/eV/cell.

***

(10)
VASP calculation (PBE-GGA) on a relaxed CdReTcOs2 crystal.

It has space group P4/mmm (No. 123), with a = 4.696 Å, b = 4.696 Å, c = 5.032 Å, α = 90.00°, β = 90.00° and γ = 90.00°. The inequivalent atoms are Cd at (0.000, 0.000, 0.000), Re at (0.000, 0.000, 0.500), Tc at (0.500, 0.500, 0.000) and Os at (0.000, 0.500, 0.500).

The formation energy is 11.166 eV/f.u. The density of states at the Fermi level comes out at 5.166 states/eV/cell.

***

(11)
VASP calculation (PBE-GGA) on a relaxed SiOs2Pb crystal.

It has space group P4/mmm (No. 123), with a = 4.478 Å, b = 4.478 Å, c = 3.198 Å, α = 90.00°, β = 90.00° and γ = 90.00°. The inequivalent atoms are Si at (0.000, 0.000, 0.000), Os at (0.000, 0.500, 0.500) and Pb at (0.500, 0.500, 0.000).

The uncorrected formation energy is 0.697 eV per atom. The density of states at the Fermi level comes out at 0.898 states/eV/cell.

***

(12)
VASP calculation (PBE-GGA) on a relaxed Ce4Si3Tc crystal.

It has space group Pmm2 (No. 25), with a = 4.010 Å, b = 4.355 Å, c = 10.385 Å, α = 90.00°, β = 90.00° and γ = 90.00°. The inequivalent atoms are Ce at (0.000, 0.000, 0.000), Ce at (0.000, 0.500, 0.471), Ce at (0.500, 0.000, 0.698), Ce at (0.500, 0.500, 0.200), Si at (0.000, 0.500, 0.769), Si at (0.500, 0.000, 0.401), Si at (0.500, 0.500, 0.912) and Tc at (0.000, 0.000, 0.231).

The uncorrected formation energy is -0.523 eV per atom. The density of states at the Fermi level comes out at 15.236 states/eV/cell.

***

(13)
VASP calculation (PBE-GGA) on a relaxed RbTl2PbBr5 crystal.

It has space group Immm (No. 71), with a = 5.808 Å, b = 8.101 Å, c = 16.255 Å, α = 90.00°, β = 90.00° and γ = 90.00°. The inequivalent atoms are Rb at (0.000, 0.000, 0.000), Tl at (0.000, 0.500, 0.210), Pb at (0.000, 0.000, 0.500), Br at (0.000, 0.255, 0.364) and Br at (0.000, 0.500, 0.000).

The uncorrected formation energy is -1.035 eV per atom. The density of states at the Fermi level comes out at 0.000 states/eV/cell.

***

(14)
VASP calculation (PBE-GGA) on a relaxed TcAgSb2 crystal.

It has space group I-4m2 (No. 119), with a = 4.093 Å, b = 4.093 Å, c = 9.709 Å, α = 90.00°, β = 90.00° and γ = 90.00°. The inequivalent atoms are Tc at (0.000, 0.000, 0.000), Ag at (0.000, 0.500, 0.750), Sb at (0.000, 0.000, 0.500) and Sb at (0.000, 0.500, 0.250).

The uncorrected formation energy is 0.473 eV per atom. The density of states at the Fermi level comes out at 7.566 states/eV/cell.

***

(15)
VASP calculation (PBE-GGA) on a relaxed Pr8SnSb5 crystal.

It has space group I-4 (No. 82), with a = 9.601 Å, b = 9.601 Å, c = 9.607 Å, α = 90.00°, β = 90.00° and γ = 90.00°. The inequivalent atoms are Pr at (0.069, 0.179, 0.195), Pr at (0.071, 0.321, 0.554), Sn at (0.000, 0.500, 0.250), Sb at (0.000, 0.000, 0.500) and Sb at (0.125, 0.251, 0.875).

The uncorrected formation energy is -1.015 eV per atom. The density of states at the Fermi level comes out at 28.544 states/eV/cell.

***

(16)
VASP calculation (PBE-GGA) on a relaxed Rb2V2Se5 crystal.

It has space group C2/m (No. 12), with a = 13.768 Å, b = 4.939 Å, c = 8.584 Å, α = 90.00°, β = 100.07° and γ = 90.00°. The inequivalent atoms are Rb at (0.092, 0.000, 0.311), V at (0.148, 0.500, 0.893), Se at (0.000, 0.500, 0.000), Se at (0.129, 0.500, 0.625) and Se at (0.184, 0.000, 0.949).

The uncorrected formation energy is -0.819 eV per atom. The density of states at the Fermi level comes out at 6.491 states/eV/cell.

***

(17)
VASP calculation (PBE-GGA) on a relaxed PmCd5Ag6 crystal.

It has space group C2/m (No. 12), with a = 4.577 Å, b = 13.531 Å, c = 7.984 Å, α = 90.00°, β = 90.31° and γ = 90.00°. The inequivalent atoms are Pm at (0.000, 0.000, 0.000), Cd at (0.000, 0.000, 0.500), Cd at (0.000, 0.327, 0.000), Cd at (0.000, 0.337, 0.500), Ag at (0.000, 0.500, 0.261) and Ag at (0.002, 0.170, 0.739).

The formation energy is -0.995 eV/f.u. The density of states at the Fermi level comes out at 10.412 states/eV/cell.

***

(18)
VASP calculation (PBE-GGA) on a relaxed FeNiBr3 crystal.

It has space group Pm-3m (No. 221), with a = 5.089 Å, b = 5.089 Å, c = 5.089 Å, α = 90.00°, β = 90.00° and γ = 90.00°. The inequivalent atoms are Fe at (0.000, 0.000, 0.000), Ni at (0.500, 0.500, 0.500) and Br at (0.000, 0.000, 0.500).

The uncorrected formation energy is 0.444 eV per atom. The density of states at the Fermi level comes out at 10.341 states/eV/cell.

***

Number 1: V 20.28 A^3/atom, VASP energy -141.06 eV/cell. Number 2: V 23.63 A^3/atom, VASP energy -193.98 eV/cell. Number 3: V 25.86 A^3/atom, VASP energy -157.22 eV/cell. Number 4: V 22.02 A^3/atom, VASP energy -20.36 eV/cell. Number 5: V 19.95 A^3/atom, VASP energy -125.14 eV/cell. Number 6: V 27.86 A^3/atom, VASP energy -112.29 eV/cell. Number 7: V 17.44 A^3/atom, VASP energy -212.70 eV/cell. Number 8: V 16.34 A^3/atom, VASP energy -16.79 eV/cell. Number 9: V 26.79 A^3/atom, VASP energy -47.14 eV/cell. Number 10: V 22.19 A^3/atom, VASP energy -35.02 eV/cell. Number 11: V 16.03 A^3/atom, VASP energy -28.80 eV/cell. Number 12: V 22.67 A^3/atom, VASP energy -54.55 eV/cell. Number 13: V 42.49 A^3/atom, VASP energy -54.18 eV/cell. Number 14: V 20.33 A^3/atom, VASP energy -39.14 eV/cell. Number 15: V 31.63 A^3/atom, VASP energy -154.11 eV/cell. Number 16: V 31.93 A^3/atom, VASP energy -89.93 eV/cell. Number 17: V 20.60 A^3/atom, VASP energy -54.86 eV/cell. Number 18: V 26.35 A^3/atom, VASP energy -17.04 eV/cell.